VASP calculation (PBE-GGA) on an optimized crystal structure of EuMgPdPb.

SG = No. 216
raw total energy = -22.4 eV/cell

Lattice parameters (Å, degrees): 5.135 5.135 5.135 60.00 60.00 60.00
Fractional positions:
Pb 0.500 0.500 0.500
Eu 0.250 0.250 0.250
Mg 0.750 0.750 0.750
Pd 0.000 0.000 0.000